(1)
Material: Sr2LaNi
Method: DFT, PBE
State: relaxed

Uncorrected energy ... -3.1305 eV/atom
Energy above the most stable polymorph in this dataset ... 1.633 eV per formula unit
DOS at the Fermi energy ... 3.88 states/eV/f.u.

abc: 4.678 4.678 11.768
angles: 90.00 90.00 90.00
Space group I4/mmm (No. 139)
Symmetry-distinct sites (fractional):
Sr 0.000 0.500 0.250
La 0.000 0.000 0.000
Ni 0.000 0.000 0.500

---

(2)
Material: Sr2LaNi
Method: DFT, PBE
State: relaxed

Uncorrected energy ... -3.5387 eV/atom
Energy above the most stable polymorph in this dataset ... 0.000 eV per formula unit
DOS at the Fermi energy ... 4.17 states/eV/f.u.

abc: 5.272 5.300 10.115
angles: 90.00 90.00 90.00
Space group Cmm2 (No. 35)
Symmetry-distinct sites (fractional):
Sr 0.000 0.000 0.000
Sr 0.000 0.500 0.344
La 0.000 0.500 0.680
Ni 0.000 0.000 0.548

---

(3)
Material: SrLaNi
Method: DFT, PBE
State: relaxed

Uncorrected energy ... -4.3240 eV/atom
Energy above the most stable polymorph in this dataset ... 0.000 eV per formula unit
DOS at the Fermi energy ... 2.52 states/eV/f.u.

abc: 3.975 23.487 4.202
angles: 90.00 90.00 90.00
Space group Cmcm (No. 63)
Symmetry-distinct sites (fractional):
Sr 0.000 0.183 0.250
La 0.000 0.438 0.250
Ni 0.000 0.035 0.250

---

(4)
Material: SrLaNi
Method: DFT, PBE
State: relaxed

Uncorrected energy ... -4.2146 eV/atom
Energy above the most stable polymorph in this dataset ... 0.328 eV per formula unit
DOS at the Fermi energy ... 2.86 states/eV/f.u.

abc: 4.1586 4.1586 7.0415
angles: 90.00 90.00 120.00
Space group P3m1 (No. 156)
Symmetry-distinct sites (fractional):
Sr 0.0000 0.0000 0.0000
La 0.6667 0.3333 0.5394
Ni 0.3333 0.6667 0.7324

---

(5)
Material: SrLaNi
Method: DFT, PBE
State: relaxed

Uncorrected energy ... -4.1951 eV/atom
Energy above the most stable polymorph in this dataset ... 0.387 eV per formula unit
DOS at the Fermi energy ... 3.25 states/eV/f.u.

abc: 3.642 3.642 13.778
angles: 90.00 90.00 90.00
Space group I4mm (No. 107)
Symmetry-distinct sites (fractional):
Sr 0.000 0.000 0.000
La 0.000 0.000 0.750
Ni 0.000 0.000 0.352

---

(6)
Material: Sr4LaNi
Method: DFT, PBE
State: relaxed

Uncorrected energy ... -2.1046 eV/atom
DOS at the Fermi energy ... 12.23 states/eV/f.u.

abc: 10.266 10.266 10.266
angles: 90.00 90.00 90.00
Space group F-43m (No. 216)
Symmetry-distinct sites (fractional):
Sr 0.125 0.125 0.125
La 0.250 0.250 0.750
Ni 0.000 0.000 0.500

---

(7)
Material: Sr2LaNi
Method: DFT, PBE
State: relaxed

Uncorrected energy ... -3.3678 eV/atom
Energy above the most stable polymorph in this dataset ... 0.684 eV per formula unit
DOS at the Fermi energy ... 5.27 states/eV/f.u.

abc: 11.253 11.253 5.195
angles: 90.00 90.00 90.00
Space group I-42d (No. 122)
Symmetry-distinct sites (fractional):
Sr 0.106 0.750 0.125
La 0.000 0.000 0.500
Ni 0.000 0.000 0.000

---

(8)
Material: Sr2LaNi
Method: DFT, PBE
State: relaxed

Uncorrected energy ... -3.0730 eV/atom
Energy above the most stable polymorph in this dataset ... 1.863 eV per formula unit
DOS at the Fermi energy ... 5.68 states/eV/f.u.

abc: 4.901 4.901 11.003
angles: 90.00 90.00 90.00
Space group I-4m2 (No. 119)
Symmetry-distinct sites (fractional):
Sr 0.000 0.000 0.000
Sr 0.000 0.500 0.250
La 0.000 0.500 0.750
Ni 0.000 0.000 0.500

---

Computed energy relative to the elements (eV/atom) in order:
0.39, -0.02, -0.19, -0.08, -0.06, 0.80, 0.15, 0.45
Computed magnetic moment (μB/atom) in order:
0.00, 0.00, 0.00, 0.00, 0.00, 0.18, 0.00, 0.00